DFT (GGA-PBE) results for a geometry-optimized ScCd2P2 structure.

* raw total energy: -40.208 eV per cell
* formation energy: -1.12 eV/f.u.
* N(E_F): 7.19 states/eV per cell

abc: 7.2015 7.2015 3.8642
angles: 90.00 90.00 90.00
Fractional coordinates of all 10 atoms:
Sc 0.0000 0.0000 0.0000
Sc 0.5000 0.5000 0.0000
Cd 0.1441 0.3559 0.5000
Cd 0.3559 0.8559 0.5000
Cd 0.6441 0.1441 0.5000
Cd 0.8559 0.6441 0.5000
P 0.1701 0.6701 0.0000
P 0.3299 0.1701 0.0000
P 0.6701 0.8299 0.0000
P 0.8299 0.3299 0.0000